No. 1
{"formula": "ZrRhAu2", "functional": "PBE", "state": "optimized geometry", "delta_e_f_mev_per_atom": 13, "dft_energy_ev_per_cell": -22.4, "spacegroup": "R-3m", "lattice_angstrom": [[9.7085, 0.0024, 0.0014], [9.2621, 2.9100, 0.0014], [9.2621, 1.4220, 2.5390]], "species": ["Au", "Au", "Rh", "Zr"], "frac_coords": [[0.9968, 0.9968, 0.9968], [0.5032, 0.5032, 0.5032], [0.2500, 0.2500, 0.2500], [0.7500, 0.7500, 0.7500]]}



No. 2
{"formula": "Zr2Rh2Au", "functional": "PBE", "state": "optimized geometry", "delta_e_f_mev_per_atom": -467, "dft_energy_ev_per_cell": -74.8, "spacegroup": "P4/mbm", "lattice_angstrom": [[-4.7829, -4.5839, -4.0767], [-2.2796, -3.4710, 6.5774], [-2.2942, 2.1104, 0.3186]], "species": ["Rh", "Rh", "Rh", "Rh", "Au", "Au", "Zr", "Zr", "Zr", "Zr"], "frac_coords": [[0.1377, 0.6377, 0.5000], [0.6377, 0.8623, 0.5000], [0.8623, 0.3623, 0.5000], [0.3623, 0.1377, 0.5000], [0.0000, 0.0000, 0.0000], [0.5000, 0.5000, 0.0000], [0.3450, 0.8450, 0.0000], [0.8450, 0.6550, 0.0000], [0.6550, 0.1550, 0.0000], [0.1550, 0.3450, 0.0000]]}